An optimized crystal structure of LiZr. Source: Alexandria, functional PBE.

```
data_LiZr
_chemical_formula_sum 'Li4 Zr4'
_space_group_name_H-M_alt 'I 41/a m d'
_space_group_IT_number 141
_cell_length_a 4.136
_cell_length_b 4.136
_cell_length_c 9.069
_cell_angle_alpha 90.00
_cell_angle_beta 90.00
_cell_angle_gamma 90.00
loop_
_space_group_symop_operation_xyz
'x,y,z'
'-x,-y,-z'
'-y+1/4,x+3/4,z+1/4'
'y+1/4,-x+3/4,-z+1/4'
'-x+1/2,-y,z+1/2'
'x+1/2,y,-z+1/2'
'y+1/4,-x+1/4,z+3/4'
'-y+1/4,x+1/4,-z+3/4'
'x,-y,-z'
'-x,y,z'
'-y+1/4,-x+1/4,-z+3/4'
'y+1/4,x+1/4,z+3/4'
'-x+1/2,y,-z+1/2'
'x+1/2,-y,z+1/2'
'y+1/4,x+3/4,-z+1/4'
'-y+1/4,-x+3/4,z+1/4'
'x+1/2,y+1/2,z+1/2'
'-x+1/2,-y+1/2,-z+1/2'
'-y+3/4,x+1/4,z+3/4'
'y+3/4,-x+1/4,-z+3/4'
'-x,-y+1/2,z'
'x,y+1/2,-z'
'y+3/4,-x+3/4,z+1/4'
'-y+3/4,x+3/4,-z+1/4'
'x+1/2,-y+1/2,-z+1/2'
'-x+1/2,y+1/2,z+1/2'
'-y+3/4,-x+3/4,-z+1/4'
'y+3/4,x+3/4,z+1/4'
'-x,y+1/2,-z'
'x,-y+1/2,z'
'y+3/4,x+1/4,-z+3/4'
'-y+3/4,-x+1/4,z+3/4'
loop_
_atom_site_label
_atom_site_type_symbol
_atom_site_fract_x
_atom_site_fract_y
_atom_site_fract_z
_atom_site_occupancy
Li1 Li 0.000 0.250 0.375 1
Zr1 Zr 0.000 0.250 0.875 1
```

Results
**DFT formation energy**: 0.3942 eV per atom
**Excess energy over the best structure of this formula in the dataset**: 0.310 eV/atom
**Density**: 4.20 Mg/m³

An optimized crystal structure of Cd2TcIr2. Source: Alexandria, functional PBE.

```
data_Cd2TcIr2
_chemical_formula_sum 'Cd4 Tc2 Ir4'
_space_group_name_H-M_alt 'P 4/m b m'
_space_group_IT_number 127
_space_group_name_Hall '-P 4 2ab'
_cell_length_a 6.489
_cell_length_b 6.489
_cell_length_c 4.385
_cell_angle_alpha 90.00
_cell_angle_beta 90.00
_cell_angle_gamma 90.00
loop_
_atom_site_label
_atom_site_type_symbol
_atom_site_fract_x
_atom_site_fract_y
_atom_site_fract_z
_atom_site_occupancy
Cd1 Cd 0.174 0.326 0.000 1
Tc1 Tc 0.000 0.000 0.500 1
Ir1 Ir 0.134 0.634 0.500 1
```

Results
**DFT formation energy**: 0.3720 eV per atom
**Density**: 12.72 Mg/m³